# PBE-GGA Zr2Ni2Pt7, relaxed
# **Formation energy from the elements**: -0.5234 eV per atom
# **D(E_F)**: 14.96 states/eV/f.u.
# **Raw total energy**: -6.97 eV per atom
# **Crystal system**: orthorhombic
data_Zr2Ni2Pt7
_cell_length_a 3.726
_cell_length_b 8.467
_cell_length_c 11.489
_cell_angle_alpha 90.00
_cell_angle_beta 90.00
_cell_angle_gamma 90.00
_space_group_name_H-M_alt 'I m m m'
_space_group_IT_number 71
_space_group_name_Hall '-I 2 2'
loop_
_atom_site_label
_atom_site_fract_x
_atom_site_fract_y
_atom_site_fract_z
_atom_site_occupancy
Zr1 0.000 0.000 0.188 1
Ni1 0.000 0.236 0.000 1
Pt1 0.000 0.249 0.344 1
Pt2 0.000 0.500 0.125 1
Pt3 0.000 0.500 0.500 1